## CsNbWO6 (GGA+U)

Data for an optimized crystal structure of CsNbWO6.

## Properties
- E above lowest polymorph (eV per atom) = 0.000
- calculated total energy (eV per atom) = -7.640

a = 7.435 Å, b = 7.500 Å, c = 10.585 Å
α = 90.00°, β = 90.00°, γ = 90.00°
Space group Imma (No. 74)
Symmetry-distinct sites (fractional):
Cs 0.000 0.250 0.128 (multiplicity 4)
Nb 0.000 0.000 0.500 (multiplicity 4)
W 0.250 0.250 0.750 (multiplicity 4)
O 0.000 0.250 0.438 (multiplicity 4)
O 0.000 0.250 0.808 (multiplicity 4)
O 0.190 0.068 0.627 (multiplicity 16)